Compound: CaLa2Co2Sb2Pb2O12
Source: the Alexandria database
Functional: GGA+U
Structure: optimized geometry

Computed properties:
Total DFT energy (no corrections)   -6.420 eV per atom

Cell: 5.7899 5.8823 9.1531 Å, 95.31 90.67 94.55°
Closest atoms and distances in Å follow each position.
Space group P1 (No. 1)
Asymmetric unit:
Ca 0.0000 0.0000 0.0000 x1  5 O 2.28-2.47
La 0.5963 0.9323 0.3080 x1  5 O 2.30-2.55
La 0.9896 0.3972 0.7515 x1  6 O 2.40-2.66
Co 0.1205 0.6203 0.1234 x1  4 O 2.12-2.16
Co 0.5421 0.3648 0.5457 x1  2 O 2.01-2.05
Sb 0.0538 0.8651 0.5435 x1  6 O 2.02-2.08
Sb 0.5647 0.3671 0.0508 x1  6 O 2.01-2.07
Pb 0.1318 0.3329 0.3365 x1  5 O 2.45-2.71, 1 Co 2.70
Pb 0.5034 0.8238 0.7775 x1  4 O 2.43-2.57
O 0.0020 0.7947 0.3229 x1  1 Sb 2.04, 1 Co 2.16
O 0.0986 0.9681 0.7593 x1  1 Sb 2.02
O 0.2420 0.5961 0.5765 x1  1 Sb 2.03
O 0.2899 0.4713 0.9379 x1  1 Sb 2.05, 1 Co 2.12
O 0.3532 0.1029 0.1174 x1  1 Sb 2.04
O 0.3624 0.0573 0.5135 x1  1 Co 2.01, 1 Sb 2.07
O 0.4512 0.5712 0.2181 x1  1 Sb 2.01, 1 Co 2.14
O 0.6943 0.1883 0.8777 x1  1 Sb 2.01
O 0.7693 0.6479 0.5918 x1  1 Co 2.05, 1 Sb 2.08
O 0.7987 0.2179 0.1716 x1  1 Sb 2.04
O 0.8046 0.6261 0.9993 x1  1 Sb 2.07, 1 Co 2.15
O 0.8603 0.1344 0.5283 x1  1 Sb 2.03